# 1
# K2Ba2Na

A geometry-optimized K2Ba2Na structure (PBE, Alexandria).

Values from the calculation:
Density: 1.909 Mg/m³
Calculated formation energy: 0.21 eV/atom
Space-group type: I4/mmm, No. 139
Energy relative to the lowest polymorph listed for this composition: 0.149 eV per atom
Magnetization: 0.0 μB/f.u.

a b c (Å): 12.5123 12.5123 12.5123
angles (deg): 155.88 155.88 34.38
Fractional coordinates of all 5 atoms:
K 0.2500 0.7500 0.5000
K 0.7500 0.2500 0.5000
Ba 0.0886 0.0886 0.0000
Ba 0.9114 0.9114 0.0000
Na 0.5000 0.5000 0.0000

# 2
# SrFe2Bi

A geometry-optimized SrFe2Bi structure (PBE, Alexandria).

Values from the calculation:
Density: 6.734 Mg/m³
Calculated formation energy: 0.70 eV/atom
Space-group type: I4_1/amd, No. 141
Magnetization: 0.2 μB/f.u.

a b c (Å): 9.6851 9.6851 9.6851
angles (deg): 151.88 151.88 40.18
Fractional coordinates of all 8 atoms:
Sr 0.3750 0.6250 0.7500
Sr 0.6250 0.3750 0.2500
Fe 0.0000 0.0000 0.0000
Fe 0.0000 0.0000 0.5000
Fe 0.0000 0.5000 0.0000
Fe 0.5000 0.0000 0.5000
Bi 0.1250 0.8750 0.2500
Bi 0.8750 0.1250 0.7500

# 3
# PmSn2Ge2

A geometry-optimized PmSn2Ge2 structure (PBE, Alexandria).

Values from the calculation:
Density: 7.102 Mg/m³
Calculated formation energy: -0.29 eV/atom
Space-group type: Cmcm, No. 63
Magnetization: 0.0 μB/f.u.

a b c (Å): 13.6351 13.6351 4.1719
angles (deg): 90.00 90.00 161.45
Fractional coordinates of all 10 atoms:
Pm 0.1634 0.8366 0.7500
Pm 0.8366 0.1634 0.2500
Sn 0.0526 0.9474 0.2500
Sn 0.4315 0.5685 0.2500
Sn 0.5685 0.4315 0.7500
Sn 0.9474 0.0526 0.7500
Ge 0.2517 0.7483 0.2500
Ge 0.3490 0.6510 0.7500
Ge 0.6510 0.3490 0.2500
Ge 0.7483 0.2517 0.7500

# 4
# BaSbPb2

A geometry-optimized BaSbPb2 structure (PBE, Alexandria).

Values from the calculation:
Density: 8.120 Mg/m³
Space-group type: C2/m, No. 12
E_form (uncorrected): -6.27 kcal/mol of atoms
Magnetization: 0.0 μB/f.u.

a b c (Å): 7.1801 7.1801 3.6461
angles (deg): 104.43 104.43 121.56
Fractional coordinates of all 4 atoms:
Ba 0.0000 0.0000 0.0000
Sb 0.5000 0.5000 0.0000
Pb 0.0000 0.5000 0.5000
Pb 0.5000 0.0000 0.5000

# 5
# Ho5Er2Sc4

A geometry-optimized Ho5Er2Sc4 structure (PBE, Alexandria).

Values from the calculation:
Density: 6.818 Mg/m³
Calculated formation energy: 0.17 eV/atom
Space-group type: Immm, No. 71
Energy relative to the lowest polymorph listed for this composition: 0.070 eV per atom
Magnetization: 0.0 μB/f.u.

a b c (Å): 12.1188 12.1188 12.1188
angles (deg): 163.96 138.40 44.86
Fractional coordinates of all 11 atoms:
Ho 0.0000 0.0000 0.0000
Ho 0.0598 0.3591 0.7007
Ho 0.3416 0.6409 0.7007
Ho 0.6584 0.3591 0.2993
Ho 0.9402 0.6409 0.2993
Er 0.2697 0.7697 0.5000
Er 0.7303 0.2303 0.5000
Sc 0.3213 0.5000 0.8213
Sc 0.4056 0.9056 0.5000
Sc 0.5944 0.0944 0.5000
Sc 0.6787 0.5000 0.1787

# 6
# Mg2InSe

A geometry-optimized Mg2InSe structure (PBE, Alexandria).

Values from the calculation:
Density: 4.399 Mg/m³
Space-group type: C2/m, No. 12
Energy relative to the lowest polymorph listed for this composition: 0.266 eV per atom
E_form (uncorrected): -6.76 kcal/mol of atoms
Magnetization: 0.0 μB/f.u.

a b c (Å): 5.0878 5.0878 3.7121
angles (deg): 96.05 96.05 104.80
Fractional coordinates of all 4 atoms:
Mg 0.0000 0.5000 0.0000
Mg 0.5000 0.0000 0.0000
In 0.0000 0.0000 0.5000
Se 0.5000 0.5000 0.5000

# 7
# K2Ga4Sn3Ge

A geometry-optimized K2Ga4Sn3Ge structure (PBE, Alexandria).

Values from the calculation:
Density: 4.910 Mg/m³
Calculated formation energy: -0.15 eV/atom
Space-group type: P-4m2, No. 115
Magnetization: 0.0 μB/f.u.

a b c (Å): 4.8771 4.8771 11.1741
angles (deg): 90.00 90.00 90.00
Fractional coordinates of all 10 atoms:
K 0.0000 0.5000 0.2488
K 0.5000 0.0000 0.7512
Ga 0.0000 0.0000 0.5000
Ga 0.0000 0.5000 0.8777
Ga 0.5000 0.0000 0.1223
Ga 0.5000 0.5000 0.5000
Sn 0.0000 0.0000 0.0000
Sn 0.0000 0.5000 0.6312
Sn 0.5000 0.0000 0.3688
Ge 0.5000 0.5000 0.0000

# 8
# VSiCl3

A geometry-optimized VSiCl3 structure (PBE, Alexandria).

Values from the calculation:
Density: 2.689 Mg/m³
Space-group type: Pm-3m, No. 221
Energy relative to the lowest polymorph listed for this composition: 0.000 eV per atom
E_form (uncorrected): -4.24 kcal/mol of atoms
Magnetization: 4.0 μB/f.u.

a b c (Å): 4.8558 4.8558 4.8558
angles (deg): 90.00 90.00 90.00
Fractional coordinates of all 5 atoms:
V 0.0000 0.0000 0.0000
Si 0.5000 0.5000 0.5000
Cl 0.0000 0.0000 0.5000
Cl 0.0000 0.5000 0.0000
Cl 0.5000 0.0000 0.0000